Entry 1:
DFT (PBE) results for a relaxed KYTa2 crystal. Values from VASP.

Summary:
SG: I4/mmm (139)
N(E_F) in states/eV per atom: 1.63
DFT formation energy in eV per atom: 1.25
Raw total energy in eV for the cell shown: -52.6
Volume in Å³ per atom: 23.4
Relative energy among the computed polymorphs in meV per atom: 724.4

Geometry as Quantum ESPRESSO input:
```
&SYSTEM
  ibrav = 0, nat = 8, ntyp = 3
/
ATOMIC_SPECIES
K 39.10 K.upf
Y 88.91 Y.upf
Ta 180.95 Ta.upf
CELL_PARAMETERS angstrom
4.122 0.000 0.000
0.000 4.122 0.000
0.000 0.000 11.010
ATOMIC_POSITIONS angstrom
K 0.000 0.000 0.000
K 2.061 2.061 5.505
Y 0.000 0.000 5.505
Y 2.061 2.061 0.000
Ta 0.000 2.061 2.752
Ta 0.000 2.061 8.257
Ta 2.061 0.000 2.752
Ta 2.061 0.000 8.257
```



Entry 2:
DFT (PBE) results for a relaxed KYTa2 crystal. Values from VASP.

Summary:
SG: I-42d (122)
N(E_F) in states/eV per atom: 1.39
DFT formation energy in eV per atom: 1.44
Raw total energy in eV for the cell shown: -101.9
Volume in Å³ per atom: 24.4
Relative energy among the computed polymorphs in meV per atom: 922.1

Geometry as Quantum ESPRESSO input:
```
&SYSTEM
  ibrav = 0, nat = 16, ntyp = 3
/
ATOMIC_SPECIES
K 39.10 K.upf
Y 88.91 Y.upf
Ta 180.95 Ta.upf
CELL_PARAMETERS angstrom
4.159 0.000 0.000
0.000 4.159 0.000
0.000 0.000 22.595
ATOMIC_POSITIONS angstrom
K 0.000 0.000 0.000
K 0.000 2.080 5.649
K 2.080 0.000 16.946
K 2.080 2.080 11.298
Y 0.000 0.000 11.298
Y 0.000 2.080 16.946
Y 2.080 0.000 5.649
Y 2.080 2.080 0.000
Ta 0.970 3.119 14.122
Ta 1.040 0.970 8.473
Ta 1.040 1.110 19.771
Ta 1.110 3.119 2.824
Ta 3.049 1.040 2.824
Ta 3.119 3.049 19.771
Ta 3.119 3.190 8.473
Ta 3.190 1.040 14.122
```



Entry 3:
DFT (PBE) results for a relaxed KY2Ta crystal. Values from VASP.

Summary:
SG: I-42d (122)
N(E_F) in states/eV per atom: 1.59
DFT formation energy in eV per atom: 1.51
Raw total energy in eV for the cell shown: -79.4
Volume in Å³ per atom: 53.0
Relative energy among the computed polymorphs in meV per atom: 1217.0

Geometry as Quantum ESPRESSO input:
```
&SYSTEM
  ibrav = 0, nat = 16, ntyp = 3
/
ATOMIC_SPECIES
K 39.10 K.upf
Y 88.91 Y.upf
Ta 180.95 Ta.upf
CELL_PARAMETERS angstrom
8.382 0.000 0.000
0.000 8.382 0.000
0.000 0.000 12.066
ATOMIC_POSITIONS angstrom
K 0.000 0.000 0.000
K 0.000 4.191 3.016
K 4.191 0.000 9.049
K 4.191 4.191 6.033
Y 0.010 2.096 7.541
Y 2.096 4.201 10.558
Y 2.096 8.372 4.525
Y 4.181 2.096 1.508
Y 4.201 6.287 1.508
Y 6.287 0.010 4.525
Y 6.287 4.181 10.558
Y 8.372 6.287 7.541
Ta 0.000 0.000 6.033
Ta 0.000 4.191 9.049
Ta 4.191 0.000 3.016
Ta 4.191 4.191 0.000
```



Entry 4:
DFT (PBE) results for a relaxed KY2Ta crystal. Values from VASP.

Summary:
SG: Cm (8)
N(E_F) in states/eV per atom: 1.35
DFT formation energy in eV per atom: 0.54
Raw total energy in eV for the cell shown: -94.8
Volume in Å³ per atom: 33.9
Relative energy among the computed polymorphs in meV per atom: 252.1

Geometry as Quantum ESPRESSO input:
```
&SYSTEM
  ibrav = 0, nat = 16, ntyp = 3
/
ATOMIC_SPECIES
K 39.10 K.upf
Y 88.91 Y.upf
Ta 180.95 Ta.upf
CELL_PARAMETERS angstrom
17.480 0.000 0.000
0.000 3.641 0.000
-4.148 0.000 8.517
ATOMIC_POSITIONS angstrom
K 0.000 0.000 0.000
K 2.257 1.820 2.146
K 8.740 1.820 0.000
K 10.997 0.000 2.146
Y -1.154 1.820 6.405
Y 5.178 0.000 0.191
Y 4.004 0.000 4.954
Y 6.804 1.820 3.414
Y 7.586 0.000 6.405
Y 13.918 1.820 0.191
Y 12.744 1.820 4.954
Y 15.544 0.000 3.414
Ta 0.831 0.000 4.906
Ta 1.946 1.820 6.464
Ta 9.571 1.820 4.906
Ta 10.686 0.000 6.464
```



Entry 5:
DFT (PBE) results for a relaxed KY2Ta crystal. Values from VASP.

Summary:
SG: Pm (6)
N(E_F) in states/eV per atom: 1.14
DFT formation energy in eV per atom: 0.50
Raw total energy in eV for the cell shown: -47.7
Volume in Å³ per atom: 33.1
Relative energy among the computed polymorphs in meV per atom: 212.5

Geometry as Quantum ESPRESSO input:
```
&SYSTEM
  ibrav = 0, nat = 8, ntyp = 3
/
ATOMIC_SPECIES
K 39.10 K.upf
Y 88.91 Y.upf
Ta 180.95 Ta.upf
CELL_PARAMETERS angstrom
9.048 0.000 0.000
0.000 3.466 0.000
-4.309 0.000 8.442
ATOMIC_POSITIONS angstrom
K 0.000 0.000 0.000
K -1.265 1.733 7.317
Y -1.093 0.000 3.642
Y 1.927 0.000 5.557
Y 5.754 1.733 1.251
Y 4.735 1.733 4.504
Ta 1.481 1.733 3.038
Ta 3.366 0.000 2.363
```



Entry 6:
DFT (PBE) results for a relaxed KYTa2 crystal. Values from VASP.

Summary:
SG: Cm (8)
N(E_F) in states/eV per atom: 0.95
DFT formation energy in eV per atom: 0.79
Raw total energy in eV for the cell shown: -56.2
Volume in Å³ per atom: 30.5
Relative energy among the computed polymorphs in meV per atom: 264.2

Geometry as Quantum ESPRESSO input:
```
&SYSTEM
  ibrav = 0, nat = 8, ntyp = 3
/
ATOMIC_SPECIES
K 39.10 K.upf
Y 88.91 Y.upf
Ta 180.95 Ta.upf
CELL_PARAMETERS angstrom
9.363 0.000 0.000
0.000 3.067 0.000
-0.359 0.000 8.489
ATOMIC_POSITIONS angstrom
K 0.000 0.000 0.000
K 4.681 1.533 0.000
Y 2.361 1.533 3.193
Y 7.042 0.000 3.193
Ta -0.162 1.533 4.948
Ta 1.987 0.000 5.839
Ta 4.520 0.000 4.948
Ta 6.669 1.533 5.839
```



Entry 7:
DFT (PBE) results for a relaxed KYTa2 crystal. Values from VASP.

Summary:
SG: Pmmm (47)
N(E_F) in states/eV per atom: 1.45
DFT formation energy in eV per atom: 1.02
Raw total energy in eV for the cell shown: -27.2
Volume in Å³ per atom: 29.6
Relative energy among the computed polymorphs in meV per atom: 498.6

Geometry as Quantum ESPRESSO input:
```
&SYSTEM
  ibrav = 0, nat = 4, ntyp = 3
/
ATOMIC_SPECIES
K 39.10 K.upf
Y 88.91 Y.upf
Ta 180.95 Ta.upf
CELL_PARAMETERS angstrom
3.038 0.000 0.000
0.000 5.037 0.000
0.000 0.000 7.746
ATOMIC_POSITIONS angstrom
K 0.000 0.000 0.000
Y 0.000 0.000 3.873
Ta 1.519 2.519 2.586
Ta 1.519 2.519 5.160
```



Entry 8:
DFT (PBE) results for a relaxed KY2Ta crystal. Values from VASP.

Summary:
SG: I-4m2 (119)
N(E_F) in states/eV per atom: 1.63
DFT formation energy in eV per atom: 1.03
Raw total energy in eV for the cell shown: -43.5
Volume in Å³ per atom: 29.1
Relative energy among the computed polymorphs in meV per atom: 744.7

Geometry as Quantum ESPRESSO input:
```
&SYSTEM
  ibrav = 0, nat = 8, ntyp = 3
/
ATOMIC_SPECIES
K 39.10 K.upf
Y 88.91 Y.upf
Ta 180.95 Ta.upf
CELL_PARAMETERS angstrom
4.754 0.000 0.000
0.000 4.754 0.000
0.000 0.000 10.302
ATOMIC_POSITIONS angstrom
K 0.000 0.000 0.000
K 2.377 2.377 5.151
Y 0.000 0.000 5.151
Y 0.000 2.377 2.576
Y 2.377 0.000 7.727
Y 2.377 2.377 0.000
Ta 0.000 2.377 7.727
Ta 2.377 0.000 2.576
```